A geometry-optimized K2Co3NiF12 structure. Source: Alexandria, functional PBE with a Hubbard U.

Lattice parameters (Å, degrees): 7.0983 7.0983 7.0983 60.23 60.23 60.23
Closest atoms and distances in Å follow each position.
Positions (direct):
K  0.1286  0.1286  0.1286  6 F 2.93-3.12
K  0.8714  0.8714  0.8714  6 F 2.93-3.12
Co  0.0000  0.5000  0.5000  6 F 1.88-1.91
Co  0.5000  0.0000  0.5000  6 F 1.88-1.91
Co  0.5000  0.5000  0.0000  6 F 1.88-1.91
Ni  0.5000  0.5000  0.5000  6 F 2.01
F  0.1607  0.5800  0.5800  1 Co 1.88, 1 Ni 2.01
F  0.1816  0.1816  0.5764  2 Co 1.91
F  0.1816  0.5764  0.1816  2 Co 1.91
F  0.4200  0.4200  0.8393  1 Co 1.88, 1 Ni 2.01
F  0.4200  0.8393  0.4200  1 Co 1.88, 1 Ni 2.01
F  0.4236  0.8184  0.8184  2 Co 1.91
F  0.5764  0.1816  0.1816  2 Co 1.91
F  0.5800  0.1607  0.5800  1 Co 1.88, 1 Ni 2.01
F  0.5800  0.5800  0.1607  1 Co 1.88, 1 Ni 2.01
F  0.8184  0.4236  0.8184  2 Co 1.91
F  0.8184  0.8184  0.4236  2 Co 1.91
F  0.8393  0.4200  0.4200  1 Co 1.88, 1 Ni 2.01

Properties
VASP energy = -4.48 eV/atom
Space-group type = No. 166